No. 1
The following is a DFT calculation (PBE) of a geometry-optimized Sr3Cd5Ge2 structure.

Cell and atoms, written as CIF:
```
data_Sr3Cd5Ge2
_chemical_formula_sum 'Sr6 Cd10 Ge4'
_space_group_name_H-M_alt 'P 1'
_space_group_IT_number 1
_cell_length_a 6.783
_cell_length_b 9.737
_cell_length_c 9.737
_cell_angle_alpha 78.82
_cell_angle_beta 69.62
_cell_angle_gamma 69.62
loop_
_space_group_symop_operation_xyz
'x,y,z'
loop_
_atom_site_label
_atom_site_type_symbol
_atom_site_fract_x
_atom_site_fract_y
_atom_site_fract_z
Sr1 Sr 0.250 0.000 0.000
Sr2 Sr 0.750 0.000 0.000
Sr3 Sr 0.365 0.400 0.870
Sr4 Sr 0.635 0.600 0.130
Sr5 Sr 0.865 0.870 0.400
Sr6 Sr 0.135 0.130 0.600
Cd1 Cd 0.250 0.500 0.500
Cd2 Cd 0.750 0.500 0.500
Cd3 Cd 0.501 0.749 0.749
Cd4 Cd 0.999 0.251 0.251
Cd5 Cd 0.499 0.251 0.251
Cd6 Cd 0.001 0.749 0.749
Cd7 Cd 0.121 0.520 0.239
Cd8 Cd 0.879 0.480 0.761
Cd9 Cd 0.621 0.239 0.520
Cd10 Cd 0.379 0.761 0.480
Ge1 Ge 0.139 0.716 0.006
Ge2 Ge 0.861 0.284 0.994
Ge3 Ge 0.639 0.006 0.716
Ge4 Ge 0.361 0.994 0.284
```

- D(E_F): 7.8 states/eV/cell
- VASP energy: -43.868 eV/cell
- Formation enthalpy at 0 K: -0.31 eV per atom

---

No. 2
The following is a DFT calculation (PBE) of a geometry-optimized CaAc2Cu12Ni3 structure.

Cell and atoms, written as CIF:
```
data_CaAc2Cu12Ni3
_chemical_formula_sum 'Ca1 Ac2 Cu12 Ni3'
_space_group_name_H-M_alt 'P 1'
_space_group_IT_number 1
_cell_length_a 8.278
_cell_length_b 8.278
_cell_length_c 8.278
_cell_angle_alpha 57.52
_cell_angle_beta 57.52
_cell_angle_gamma 57.52
loop_
_space_group_symop_operation_xyz
'x,y,z'
loop_
_atom_site_label
_atom_site_type_symbol
_atom_site_fract_x
_atom_site_fract_y
_atom_site_fract_z
Ca1 Ca 0.000 0.000 0.000
Ac1 Ac 0.598 0.598 0.598
Ac2 Ac 0.402 0.402 0.402
Cu1 Cu 0.344 0.344 0.864
Cu2 Cu 0.833 0.833 0.521
Cu3 Cu 0.521 0.833 0.833
Cu4 Cu 0.864 0.344 0.344
Cu5 Cu 0.833 0.521 0.833
Cu6 Cu 0.344 0.864 0.344
Cu7 Cu 0.656 0.656 0.136
Cu8 Cu 0.167 0.167 0.479
Cu9 Cu 0.479 0.167 0.167
Cu10 Cu 0.136 0.656 0.656
Cu11 Cu 0.167 0.479 0.167
Cu12 Cu 0.656 0.136 0.656
Ni1 Ni 0.500 0.000 0.000
Ni2 Ni 0.000 0.500 0.000
Ni3 Ni 0.000 0.000 0.500
```

- D(E_F): 8.4 states/eV/cell
- VASP energy: -70.215 eV/cell
- Formation enthalpy at 0 K: 0.36 eV per atom

---

No. 3
The following is a DFT calculation (PBE) of a geometry-optimized Hf3Co structure.

Cell and atoms, written as CIF:
```
data_Hf3Co
_chemical_formula_sum 'Hf3 Co1'
_space_group_name_H-M_alt 'P 1'
_space_group_IT_number 1
_cell_length_a 5.552
_cell_length_b 5.552
_cell_length_c 5.552
_cell_angle_alpha 138.09
_cell_angle_beta 138.09
_cell_angle_gamma 60.76
loop_
_space_group_symop_operation_xyz
'x,y,z'
loop_
_atom_site_label
_atom_site_type_symbol
_atom_site_fract_x
_atom_site_fract_y
_atom_site_fract_z
Hf1 Hf 0.750 0.250 0.500
Hf2 Hf 0.250 0.750 0.500
Hf3 Hf 0.500 0.500 0.000
Co1 Co 0.000 0.000 0.000
```

- D(E_F): 5.7 states/eV/cell
- VASP energy: -36.466 eV/cell
- Formation enthalpy at 0 K: 0.13 eV per atom

---

No. 4
The following is a DFT calculation (PBE) of a geometry-optimized TaTiFe2Ge structure.

Cell and atoms, written as CIF:
```
data_TaTiFe2Ge
_chemical_formula_sum 'Ta1 Ti1 Fe2 Ge1'
_space_group_name_H-M_alt 'P 1'
_space_group_IT_number 1
_cell_length_a 4.221
_cell_length_b 4.974
_cell_length_c 4.221
_cell_angle_alpha 90.00
_cell_angle_beta 90.00
_cell_angle_gamma 90.00
loop_
_space_group_symop_operation_xyz
'x,y,z'
loop_
_atom_site_label
_atom_site_type_symbol
_atom_site_fract_x
_atom_site_fract_y
_atom_site_fract_z
Ge1 Ge 0.500 0.500 0.500
Ti1 Ti 0.000 0.000 0.000
Fe1 Fe 0.000 0.000 0.500
Fe2 Fe 0.500 0.000 0.000
Ta1 Ta 0.000 0.500 0.000
```

- D(E_F): 5.0 states/eV/cell
- VASP energy: -35.200 eV/cell
- Formation enthalpy at 0 K: 1.22 eV per atom

---

No. 5
The following is a DFT calculation (PBE) of a geometry-optimized Sr2Ac2Au3 structure.

Cell and atoms, written as CIF:
```
data_Sr2Ac2Au3
_chemical_formula_sum 'Sr4 Ac4 Au6'
_space_group_name_H-M_alt 'P 1'
_space_group_IT_number 1
_cell_length_a 8.437
_cell_length_b 8.437
_cell_length_c 8.437
_cell_angle_alpha 109.47
_cell_angle_beta 109.47
_cell_angle_gamma 109.47
loop_
_space_group_symop_operation_xyz
'x,y,z'
loop_
_atom_site_label
_atom_site_type_symbol
_atom_site_fract_x
_atom_site_fract_y
_atom_site_fract_z
Sr1 Sr 0.500 0.371 0.500
Sr2 Sr 0.000 0.000 0.371
Sr3 Sr 0.629 0.129 0.129
Sr4 Sr 0.871 0.500 0.000
Ac1 Ac 0.000 0.000 0.877
Ac2 Ac 0.500 0.877 0.500
Ac3 Ac 0.123 0.623 0.623
Ac4 Ac 0.377 0.500 0.000
Au1 Au 0.750 0.636 0.386
Au2 Au 0.250 0.864 0.114
Au3 Au 0.614 0.750 0.864
Au4 Au 0.886 0.250 0.636
Au5 Au 0.364 0.114 0.750
Au6 Au 0.136 0.386 0.250
```

- D(E_F): 13.9 states/eV/cell
- VASP energy: -52.123 eV/cell
- Formation enthalpy at 0 K: -0.66 eV per atom

---

No. 6
The following is a DFT calculation (PBE) of a geometry-optimized MgZrBe17 structure.

Cell and atoms, written as CIF:
```
data_MgZrBe17
_chemical_formula_sum 'Mg1 Zr1 Be17'
_space_group_name_H-M_alt 'P 1'
_space_group_IT_number 1
_cell_length_a 5.668
_cell_length_b 5.668
_cell_length_c 5.668
_cell_angle_alpha 82.96
_cell_angle_beta 82.96
_cell_angle_gamma 82.96
loop_
_space_group_symop_operation_xyz
'x,y,z'
loop_
_atom_site_label
_atom_site_type_symbol
_atom_site_fract_x
_atom_site_fract_y
_atom_site_fract_z
Mg1 Mg 0.655 0.655 0.655
Zr1 Zr 0.339 0.339 0.339
Be1 Be 0.290 0.998 0.711
Be2 Be 0.711 0.290 0.998
Be3 Be 0.998 0.711 0.290
Be4 Be 0.290 0.711 0.998
Be5 Be 0.998 0.290 0.711
Be6 Be 0.711 0.998 0.290
Be7 Be 0.341 0.842 0.341
Be8 Be 0.341 0.341 0.842
Be9 Be 0.842 0.341 0.341
Be10 Be 0.658 0.156 0.658
Be11 Be 0.658 0.658 0.156
Be12 Be 0.156 0.658 0.658
Be13 Be 0.007 0.497 0.007
Be14 Be 0.007 0.007 0.497
Be15 Be 0.497 0.007 0.007
Be16 Be 0.902 0.902 0.902
Be17 Be 0.097 0.097 0.097
```

- D(E_F): 4.8 states/eV/cell
- VASP energy: -75.550 eV/cell
- Formation enthalpy at 0 K: -0.11 eV per atom

---

No. 7
The following is a DFT calculation (PBE) of a geometry-optimized Rb2Te2S structure.

Cell and atoms, written as CIF:
```
data_Rb2Te2S
_chemical_formula_sum 'Rb4 Te4 S2'
_space_group_name_H-M_alt 'P 1'
_space_group_IT_number 1
_cell_length_a 8.118
_cell_length_b 8.118
_cell_length_c 5.544
_cell_angle_alpha 90.00
_cell_angle_beta 90.00
_cell_angle_gamma 90.00
loop_
_space_group_symop_operation_xyz
'x,y,z'
loop_
_atom_site_label
_atom_site_type_symbol
_atom_site_fract_x
_atom_site_fract_y
_atom_site_fract_z
S1 S 0.000 0.000 0.000
S2 S 0.500 0.500 0.000
Te1 Te 0.378 0.878 0.000
Te2 Te 0.878 0.622 0.000
Te3 Te 0.622 0.122 0.000
Te4 Te 0.122 0.378 0.000
Rb1 Rb 0.182 0.682 0.500
Rb2 Rb 0.682 0.818 0.500
Rb3 Rb 0.818 0.318 0.500
Rb4 Rb 0.318 0.182 0.500
```

- Polymorph energy (0 for the lowest one): 28 meV/atom
- D(E_F): 0.0 states/eV/cell
- VASP energy: -29.667 eV/cell
- ΔE_f (raw): -497.6 meV/atom

---

No. 8
The following is a DFT calculation (PBE) of a geometry-optimized RbLiSnTe2 structure.

Cell and atoms, written as CIF:
```
data_RbLiSnTe2
_chemical_formula_sum 'Rb2 Li2 Sn2 Te4'
_space_group_name_H-M_alt 'P 1'
_space_group_IT_number 1
_cell_length_a 4.646
_cell_length_b 8.579
_cell_length_c 10.295
_cell_angle_alpha 88.19
_cell_angle_beta 90.00
_cell_angle_gamma 105.71
loop_
_space_group_symop_operation_xyz
'x,y,z'
loop_
_atom_site_label
_atom_site_type_symbol
_atom_site_fract_x
_atom_site_fract_y
_atom_site_fract_z
Rb1 Rb 0.340 0.679 0.307
Rb2 Rb 0.660 0.321 0.693
Li1 Li 0.698 0.396 0.069
Li2 Li 0.302 0.604 0.931
Sn1 Sn 0.060 0.120 0.227
Sn2 Sn 0.940 0.880 0.773
Te1 Te 0.344 0.688 0.664
Te2 Te 0.656 0.312 0.336
Te3 Te 0.132 0.265 0.967
Te4 Te 0.868 0.735 0.033
```

- VASP energy: -33.495 eV/cell
- ΔE_f (raw): -716.0 meV/atom

---

No. 9
The following is a DFT calculation (PBE) of a geometry-optimized SmDy6Tl structure.

Cell and atoms, written as CIF:
```
data_SmDy6Tl
_chemical_formula_sum 'Sm1 Dy6 Tl1'
_space_group_name_H-M_alt 'P 1'
_space_group_IT_number 1
_cell_length_a 4.906
_cell_length_b 4.906
_cell_length_c 10.081
_cell_angle_alpha 90.00
_cell_angle_beta 90.00
_cell_angle_gamma 90.00
loop_
_space_group_symop_operation_xyz
'x,y,z'
loop_
_atom_site_label
_atom_site_type_symbol
_atom_site_fract_x
_atom_site_fract_y
_atom_site_fract_z
Sm1 Sm 0.000 0.000 0.000
Dy1 Dy 0.500 0.500 0.000
Dy2 Dy 0.500 0.500 0.500
Dy3 Dy 0.500 0.000 0.256
Dy4 Dy 0.500 0.000 0.744
Dy5 Dy 0.000 0.500 0.256
Dy6 Dy 0.000 0.500 0.744
Tl1 Tl 0.000 0.000 0.500
```

- D(E_F): 8.6 states/eV/cell
- VASP energy: -35.266 eV/cell
- Formation enthalpy at 0 K: -0.07 eV per atom

---

No. 10
The following is a DFT calculation (PBE) of a geometry-optimized HfBrCl3 structure.

Cell and atoms, written as CIF:
```
data_HfBrCl3
_chemical_formula_sum 'Hf2 Br2 Cl6'
_space_group_name_H-M_alt 'P 1'
_space_group_IT_number 1
_cell_length_a 6.100
_cell_length_b 7.537
_cell_length_c 7.160
_cell_angle_alpha 89.97
_cell_angle_beta 89.99
_cell_angle_gamma 89.99
loop_
_space_group_symop_operation_xyz
'x,y,z'
loop_
_atom_site_label
_atom_site_type_symbol
_atom_site_fract_x
_atom_site_fract_y
_atom_site_fract_z
Hf1 Hf 0.180 0.675 0.701
Hf2 Hf 0.680 0.677 0.201
Br1 Br 0.371 0.381 0.701
Br2 Br 0.871 0.972 0.201
Cl1 Cl 0.476 0.414 0.201
Cl2 Cl 0.425 0.808 0.948
Cl3 Cl 0.925 0.545 0.449
Cl4 Cl 0.976 0.939 0.701
Cl5 Cl 0.925 0.545 0.953
Cl6 Cl 0.425 0.808 0.453
```

- Polymorph energy (0 for the lowest one): 20 meV/atom
- D(E_F): 0.0 states/eV/cell
- VASP energy: -50.624 eV/cell
- ΔE_f (raw): -1629.2 meV/atom